## LaCrMo2F (PBE with a Hubbard U)

Data for an optimized crystal structure of LaCrMo2F.

Structure (extended XYZ):
```
5
Lattice="5.097 0.000 0.000 0.000 5.097 0.000 0.000 0.000 4.672" Properties=species:S:1:pos:R:3 pbc="T T T"
La 0.000 0.000 0.000
Cr 2.548 2.548 0.000
Mo 0.000 2.548 2.336
Mo 2.548 0.000 2.336
F 0.000 0.000 2.336
```

Computed properties:
DFT total energy: -27.21 eV/f.u.
space-group type: No. 123
magnetization: 3.98 μB per formula unit
Fermi-level density of states: 0.57 states/eV/atom